(1)
A relaxed structure of Zr3Se. Source: Alexandria via LeMat-Bulk, functional PBE.

Structure (extended XYZ):
```
4
Lattice="3.606 0.000 0.000 0.000 3.606 0.000 0.000 0.000 6.449" Properties=species:S:1:pos:R:3 pbc="T T T"
Zr 0.000 0.000 0.000
Zr 1.803 1.803 1.709
Zr 1.803 1.803 4.741
Se 0.000 0.000 3.225
```

formation energy without anion corrections = -0.486 eV/atom
polymorph energy (0 for the lowest one) = 214 meV/atom
E = -7.768 eV per atom

---

(2)
A relaxed structure of ZrSe5. Source: Alexandria via LeMat-Bulk, functional PBE.

Structure (extended XYZ):
```
6
Lattice="5.500 0.000 0.000 0.000 1.905 7.285 0.000 -1.905 7.285" Properties=species:S:1:pos:R:3 pbc="T T T"
Zr 0.000 0.000 0.000
Se 0.000 0.000 5.358
Se 0.000 0.000 9.206
Se 2.750 0.000 0.821
Se 2.750 0.000 5.927
Se 2.750 0.000 9.853
```

formation energy without anion corrections = -0.376 eV/atom
E = -4.704 eV per atom

---

(3)
A relaxed structure of ZrSe5. Source: Alexandria via LeMat-Bulk, functional PBE.

Structure (extended XYZ):
```
6
Lattice="5.011 -1.889 0.000 5.011 1.889 0.000 -1.056 0.000 7.793" Properties=species:S:1:pos:R:3 pbc="T T T"
Zr 0.000 0.000 0.000
Se 1.920 0.000 7.424
Se 2.439 0.000 5.001
Se 4.701 0.000 5.811
Se 5.909 0.000 1.891
Se 8.389 0.000 2.245
```

formation energy without anion corrections = -0.525 eV/atom
E = -4.853 eV per atom

---

(4)
A relaxed structure of ZrSe4. Source: Alexandria via LeMat-Bulk, functional PBE.

Structure (extended XYZ):
```
5
Lattice="5.227 0.000 0.000 0.000 5.227 0.000 0.000 0.000 5.227" Properties=species:S:1:pos:R:3 pbc="T T T"
Zr 0.000 0.000 0.000
Se 0.000 0.000 2.613
Se 0.000 2.613 0.000
Se 2.613 0.000 0.000
Se 2.613 2.613 2.613
```

formation energy without anion corrections = -0.055 eV/atom
E = -4.552 eV per atom

---

(5)
A relaxed structure of ZrSe. Source: Alexandria via LeMat-Bulk, functional PBE.

Structure (extended XYZ):
```
4
Lattice="1.701 -5.034 0.000 1.701 5.034 0.000 0.000 0.000 4.674" Properties=species:S:1:pos:R:3 pbc="T T T"
Zr 1.701 3.889 3.506
Zr 1.701 -3.889 1.169
Se 1.701 1.101 3.506
Se 1.701 -1.101 1.169
```

formation energy without anion corrections = -1.083 eV/atom
E = -7.099 eV per atom

---

(6)
A relaxed structure of ZrSe3. Source: Alexandria via LeMat-Bulk, functional PBE.

Structure (extended XYZ):
```
4
Lattice="5.242 0.000 0.000 0.000 5.242 0.000 0.000 0.000 5.242" Properties=species:S:1:pos:R:3 pbc="T T T"
Zr 0.000 0.000 0.000
Se 0.000 0.000 2.621
Se 0.000 2.621 0.000
Se 2.621 0.000 0.000
```

formation energy without anion corrections = -0.507 eV/atom
E = -5.257 eV per atom

---

(7)
A relaxed structure of ZrSe. Source: Alexandria via LeMat-Bulk, functional PBE.

Structure (extended XYZ):
```
8
Lattice="-5.214 5.214 1.850 5.214 -5.214 1.850 5.214 5.214 -1.850" Properties=species:S:1:pos:R:3 pbc="T T T"
Zr 6.825 1.188 0.000
Zr 1.188 3.603 0.000
Zr 4.026 1.611 1.850
Zr -1.611 4.026 1.850
Se 2.160 1.051 0.000
Se 4.163 -3.055 1.850
Se 1.051 8.269 0.000
Se 3.055 4.163 1.850
```

formation energy without anion corrections = -1.021 eV/atom
E = -7.037 eV per atom

---

(8)
A relaxed structure of Si. Source: Alexandria via LeMat-Bulk, functional PBE.

Structure (extended XYZ):
```
8
Lattice="5.031 0.000 0.000 0.610 5.397 0.000 2.370 2.088 6.167" Properties=species:S:1:pos:R:3 pbc="T T T"
Si 0.000 0.000 0.000
Si 2.590 4.402 5.990
Si 3.306 4.848 3.623
Si 2.147 3.667 0.531
Si 4.399 4.043 1.503
Si 5.673 5.123 4.573
Si 6.361 3.477 2.861
Si 6.575 1.477 4.045
```

formation energy without anion corrections = 0.368 eV/atom
polymorph energy (0 for the lowest one) = 368 meV/atom
E = -5.055 eV per atom

---

(9)
A relaxed structure of Si. Source: Alexandria via LeMat-Bulk, functional PBE.

Structure (extended XYZ):
```
4
Lattice="3.904 0.000 0.000 -1.952 3.381 0.000 0.000 0.000 7.577" Properties=species:S:1:pos:R:3 pbc="T T T"
Si 0.000 0.000 1.894
Si 0.000 0.000 5.683
Si 0.000 2.254 1.894
Si 1.952 1.127 5.683
```

formation energy without anion corrections = 0.639 eV/atom
polymorph energy (0 for the lowest one) = 639 meV/atom
E = -4.784 eV per atom

---

(10)
A relaxed structure of Si. Source: Alexandria via LeMat-Bulk, functional PBE.

Structure (extended XYZ):
```
3
Lattice="1.314 0.758 7.288 -1.314 0.758 7.288 0.000 -1.517 7.288" Properties=species:S:1:pos:R:3 pbc="T T T"
Si 0.000 0.000 0.000
Si 0.000 0.000 4.852
Si 0.000 0.000 17.013
```

formation energy without anion corrections = 0.521 eV/atom
polymorph energy (0 for the lowest one) = 521 meV/atom
E = -4.902 eV per atom

---

(11)
A relaxed structure of Si. Source: Alexandria via LeMat-Bulk, functional PBE.

Structure (extended XYZ):
```
68
Lattice="10.414 0.000 0.000 -5.207 9.019 0.000 0.000 0.000 17.030" Properties=species:S:1:pos:R:3 pbc="T T T"
Si 0.000 0.000 3.094
Si 0.000 0.000 5.421
Si 0.000 0.000 11.610
Si 0.000 0.000 13.936
Si -1.200 2.982 1.099
Si -1.200 2.982 7.416
Si -3.225 6.488 1.099
Si -3.225 6.488 7.416
Si -2.059 4.824 12.773
Si -1.944 4.890 2.304
Si -1.944 4.890 6.211
Si 0.000 2.229 10.877
Si 0.000 2.229 14.668
Si -3.277 7.904 10.877
Si -3.277 7.904 14.668
Si 0.000 3.651 12.773
Si -2.045 7.193 12.773
Si 1.930 1.114 2.362
Si 1.930 1.114 6.153
Si 1.200 2.982 1.099
Si 1.200 2.982 7.416
Si -2.025 8.567 1.099
Si -2.025 8.567 7.416
Si 3.183 0.451 9.615
Si 3.183 0.451 15.931
Si 1.982 2.530 9.615
Si 1.982 2.530 15.931
Si 0.000 6.013 3.071
Si 0.000 6.013 5.444
Si 3.162 1.825 4.258
Si 1.944 4.890 2.304
Si 1.944 4.890 6.211
Si 0.000 8.258 2.304
Si 0.000 8.258 6.211
Si 2.059 4.824 12.773
Si 0.000 8.391 12.773
Si 5.207 0.628 4.258
Si 3.148 4.195 4.258
Si 5.207 0.761 10.819
Si 5.207 0.761 14.726
Si 3.263 4.129 10.819
Si 3.263 4.129 14.726
Si 2.045 7.193 12.773
Si 5.207 3.006 11.587
Si 5.207 3.006 13.959
Si 3.225 6.488 1.099
Si 3.225 6.488 7.416
Si 2.025 8.567 1.099
Si 2.025 8.567 7.416
Si 7.232 0.451 9.615
Si 7.232 0.451 15.931
Si 4.007 6.037 9.615
Si 4.007 6.037 15.931
Si 3.277 7.904 10.877
Si 3.277 7.904 14.668
Si 7.252 1.825 4.258
Si 5.207 5.368 4.258
Si 8.484 1.114 2.362
Si 8.484 1.114 6.153
Si 5.207 6.790 2.362
Si 5.207 6.790 6.153
Si 7.152 4.129 10.819
Si 7.152 4.129 14.726
Si 7.267 4.195 4.258
Si 8.432 2.530 9.615
Si 8.432 2.530 15.931
Si 6.407 6.037 9.615
Si 6.407 6.037 15.931
```

formation energy without anion corrections = 0.054 eV/atom
polymorph energy (0 for the lowest one) = 54 meV/atom
E = -5.369 eV per atom

---

(12)
A relaxed structure of Si. Source: Alexandria via LeMat-Bulk, functional PBE.

Structure (extended XYZ):
```
12
Lattice="3.780 0.000 0.000 0.000 6.749 0.000 0.000 0.000 10.903" Properties=species:S:1:pos:R:3 pbc="T T T"
Si 0.337 1.165 2.266
Si 0.337 1.165 8.636
Si 0.926 0.734 0.000
Si 0.964 4.108 5.451
Si 1.554 4.539 3.185
Si 1.554 4.539 7.718
Si 2.227 2.210 3.185
Si 2.227 2.210 7.718
Si 2.816 2.641 5.451
Si 2.854 6.015 0.000
Si 3.444 5.584 2.266
Si 3.444 5.584 8.636
```

formation energy without anion corrections = 0.320 eV/atom
polymorph energy (0 for the lowest one) = 320 meV/atom
E = -5.103 eV per atom